1.
ScFeTc2C PBE optimized geometry; energy of formation from the pure elements = -0.127 eV per atom; space group = No. 123; total moment = 2.153 μB per formula unit
1.0
4.1781 0.0000 0.0000
0.0000 4.1781 0.0000
0.0000 0.0000 3.8162
Sc Fe Tc C
1 1 2 1
Cartesian
0.0000 0.0000 0.0000
2.0890 2.0890 0.0000
0.0000 2.0890 1.9081
2.0890 0.0000 1.9081
2.0890 2.0890 1.9081


2.
Tl2InMo PBE optimized geometry; energy of formation from the pure elements = 0.666 eV per atom; space group = No. 139; total moment = 0.987 μB per formula unit; energy relative to the lowest polymorph listed for this composition = 218 meV per atom
1.0
-2.1579 2.1579 4.7520
2.1579 -2.1579 4.7520
2.1579 2.1579 -4.7520
Tl In Mo
2 1 1
Cartesian
2.1579 0.0000 2.3760
0.0000 2.1579 2.3760
0.0000 0.0000 0.0000
0.0000 0.0000 4.7520


3.
Pm5TmIn3 PBE optimized geometry; energy of formation from the pure elements = -0.347 eV per atom; space group = No. 63; total moment = 0.648 μB per formula unit
1.0
8.2477 -4.7580 0.0000
8.2477 4.7580 0.0000
0.0000 0.0000 6.8505
Pm Tm In
10 2 6
Cartesian
5.4737 1.6029 1.7126
8.2477 3.2054 5.1378
2.7573 0.0000 0.0000
2.7573 0.0000 3.4252
5.4737 -1.6029 5.1378
11.0217 1.6029 1.7126
13.7381 0.0000 0.0000
13.7381 0.0000 3.4252
8.2477 -3.2054 1.7126
11.0217 -1.6029 5.1378
8.2477 0.0000 0.0000
8.2477 0.0000 3.4252
5.5576 1.5527 5.1378
8.2477 3.1037 1.7126
5.5576 -1.5527 1.7126
10.9378 1.5527 5.1378
8.2477 -3.1037 5.1378
10.9378 -1.5527 1.7126


4.
MgBeNO2 PBE optimized geometry; formation energy (no corrections) = -2.95 eV/f.u.; space group = No. 123; total moment = 0.000 μB per formula unit
1.0
3.6762 0.0000 0.0000
0.0000 3.6762 0.0000
0.0000 0.0000 3.2045
Mg Be N O
1 1 1 2
Cartesian
0.0000 0.0000 0.0000
1.8381 1.8381 1.6022
1.8381 1.8381 0.0000
0.0000 1.8381 1.6022
1.8381 0.0000 1.6022


5.
VH3Se PBE optimized geometry; space group = No. 221; total moment = 0.933 μB per formula unit; energy relative to the lowest polymorph listed for this composition = 0 meV per atom
1.0
3.5259 0.0000 0.0000
0.0000 3.5259 0.0000
0.0000 0.0000 3.5259
V H Se
1 3 1
Cartesian
0.0000 0.0000 0.0000
0.0000 0.0000 1.7630
0.0000 1.7630 0.0000
1.7630 0.0000 0.0000
1.7630 1.7630 1.7630


6.
TeP PBE optimized geometry; formation energy (no corrections) = 0.27 eV/f.u.; space group = No. 12; total moment = 0.000 μB per formula unit
1.0
6.2071 -1.8472 0.0000
6.2071 1.8472 0.0000
-0.2507 0.0000 5.7518
Te P
2 2
Cartesian
1.8507 0.0000 1.1448
10.3127 0.0000 4.6071
5.8679 0.0000 4.6429
6.2955 0.0000 1.1090


7.
CaAsH2 PBE optimized geometry; space group = No. 122; total moment = 0.000 μB per formula unit; energy relative to the lowest polymorph listed for this composition = 0 meV per atom
1.0
-2.0984 2.0984 6.6501
2.0984 -2.0984 6.6501
2.0984 2.0984 -6.6501
Ca As H
2 2 4
Cartesian
0.0000 0.0000 0.0000
0.0000 2.0984 3.3251
2.0984 0.0000 3.3251
0.0000 0.0000 6.6501
1.0492 -0.5483 4.9876
1.5501 1.0492 1.6625
1.0492 2.6467 -1.6625
0.5483 1.0492 8.3127


8.
Tb2PmNd3As6 PBE optimized geometry; energy of formation from the pure elements = -1.520 eV per atom; space group = No. 12; total moment = 0.000 μB per formula unit
1.0
3.6577 -6.3341 0.0000
3.6577 6.3341 0.0000
-2.4358 0.0000 6.8964
Tb Pm Nd As
2 1 3 6
Cartesian
3.6577 4.2196 0.0000
3.6577 -4.2196 0.0000
3.6577 0.0000 0.0000
-1.2179 0.0000 3.4482
2.4398 2.1021 3.4482
2.4398 -2.1021 3.4482
-0.0100 2.1317 5.2126
1.1959 0.0000 1.6796
-0.0100 -2.1317 5.2126
4.8895 2.1317 1.6838
3.6836 0.0000 5.2168
4.8895 -2.1317 1.6838